# 1
The following is a DFT calculation (SCAN) of a crystal of LaCuW relaxed with PBEsol.

Calculated values
The calculation puts the formation energy at 564.7 meV per atom.

The structure in CIF format:
```
data_LaCuW
_cell_length_a 2.877
_cell_length_b 2.877
_cell_length_c 13.335
_cell_angle_alpha 90.00
_cell_angle_beta 90.00
_cell_angle_gamma 90.00
_symmetry_space_group_name_H-M 'I 4 m m'
_symmetry_Int_Tables_number 107
_symmetry_space_group_name_Hall 'I 4 -2'
loop_
_atom_site_label
_atom_site_type_symbol
_atom_site_fract_x
_atom_site_fract_y
_atom_site_fract_z
La1 La 0.000 0.000 0.000
Cu1 Cu 0.000 0.000 0.680
W1 W 0.000 0.000 0.303
```

=====

# 2
The following is a DFT calculation (SCAN) of a crystal of LaCuW2 relaxed with PBEsol.

Calculated values
The calculation puts the formation energy at 825.9 meV per atom.

The structure in CIF format:
```
data_LaCuW2
_cell_length_a 5.399
_cell_length_b 10.075
_cell_length_c 3.116
_cell_angle_alpha 90.00
_cell_angle_beta 121.87
_cell_angle_gamma 90.00
_symmetry_space_group_name_H-M 'C 1 2/m 1'
_symmetry_Int_Tables_number 12
_symmetry_space_group_name_Hall '-C 2y'
loop_
_atom_site_label
_atom_site_type_symbol
_atom_site_fract_x
_atom_site_fract_y
_atom_site_fract_z
La1 La 0.000 0.000 0.000
Cu1 Cu 0.000 0.500 0.000
W1 W 0.250 0.250 0.500
```

=====

Q: Number 2 is which compound?
A: LaCuW2